Material: FeB2RuCl
Method: DFT, PBE
State: relaxed

Output
M_tot (Bohr magnetons per cell): 0.00
Formation energy from raw total energies (eV/atom): 1.118

Unit cell a=3.790 b=3.790 c=4.684 alpha=90.00 beta=90.00 gamma=90.00
Atoms (fractional coordinates):
Fe1 0.000 0.000 0.000
B1 0.000 0.500 0.000
B2 0.500 0.000 0.000
Ru1 0.000 0.000 0.500
Cl1 0.500 0.500 0.500